Co3OF5 | PBE+U | relaxed

Properties
Energy above the most stable polymorph in this dataset = 20.6 meV/atom
Density of states at the Fermi level = 0.06 states/eV/atom
DFT total energy = -5.130 eV per atom
Symmetry = No. 6

a = 3.124 Å, b = 6.694 Å, c = 10.652 Å
α = 71.94°, β = 90.00°, γ = 90.00°
Last column: magnetic moment on the atom in μB.
Element x y z (fractional)
F1 0.500 0.064 0.863  0.11
F2 0.500 0.595 0.799  0.09
F3 0.000 0.640 0.334  0.10
F4 0.000 0.703 0.999  0.09
F5 0.500 0.738 0.536  0.08
F6 0.000 0.363 0.663  0.09
F7 0.500 0.403 0.209  0.11
F8 0.500 0.930 0.126  0.11
F9 0.000 0.036 0.327  0.10
F10 0.000 0.966 0.669  0.09
Co1 0.500 0.477 0.006  2.92
Co2 0.500 0.837 0.331  2.81
Co3 0.000 0.327 0.353  3.03
Co4 0.500 0.167 0.657  2.86
Co5 0.000 0.663 0.669  2.81
Co6 0.000 0.022 0.995  3.00
O1 0.000 0.295 0.004  0.55
O2 0.500 0.272 0.460  0.59